Here is a relaxed structure of AcNdPtRh from Alexandria. Energies are from PBE.

Unit cell a=4.459 b=5.964 c=5.964 alpha=39.87 beta=90.00 gamma=90.00
Sites, in units of the cell vectors:
Ac 0.000 0.000 0.000
Nd 0.500 0.723 0.723
Pt 0.500 0.442 0.442
Rh 0.000 0.266 0.266

Computed properties:
DOS at the Fermi energy: 2.09 states/eV/f.u.
Total energy: -25.91 eV/cell
V: 25.419 A^3/atom
Excess energy over the best structure of this formula in the dataset: 0.0 meV per atom
Space-group type: No. 38



Here is a relaxed structure of Ac2Nd2PtRh2 from Alexandria. Energies are from PBE.

Unit cell a=7.448 b=7.448 c=8.316 alpha=117.89 beta=117.89 gamma=31.87
Sites, in units of the cell vectors:
Ac 0.032 0.032 0.256
Ac 0.968 0.968 0.744
Nd 0.279 0.279 0.199
Nd 0.721 0.721 0.801
Pt 0.500 0.500 0.500
Rh 0.383 0.383 0.962
Rh 0.617 0.617 0.038

Computed properties:
DOS at the Fermi energy: 3.96 states/eV/f.u.
Total energy: -43.45 eV/cell
V: 30.397 A^3/atom
Space-group type: No. 12



Here is a relaxed structure of AcNdPtRh from Alexandria. Energies are from PBE.

Unit cell a=5.179 b=5.179 c=5.179 alpha=60.00 beta=60.00 gamma=60.00
Sites, in units of the cell vectors:
Ac 0.000 0.000 0.000
Nd 0.500 0.500 0.500
Pt 0.750 0.750 0.750
Rh 0.250 0.250 0.250

Computed properties:
DOS at the Fermi energy: 2.06 states/eV/f.u.
Total energy: -25.48 eV/cell
V: 24.559 A^3/atom
Excess energy over the best structure of this formula in the dataset: 108.4 meV per atom
Space-group type: No. 216



Here is a relaxed structure of AcNdRuPt from Alexandria. Energies are from PBE.

Unit cell a=5.163 b=5.163 c=5.163 alpha=60.00 beta=60.00 gamma=60.00
Sites, in units of the cell vectors:
Ac 0.000 0.000 0.000
Nd 0.500 0.500 0.500
Ru 0.250 0.250 0.250
Pt 0.750 0.750 0.750

Computed properties:
DOS at the Fermi energy: 4.08 states/eV/f.u.
Total energy: -26.08 eV/cell
V: 24.323 A^3/atom
Space-group type: No. 216



Here is a relaxed structure of Ac2NdSb3Pt4 from Alexandria. Energies are from PBE.

Unit cell a=4.693 b=4.693 c=11.434 alpha=90.00 beta=90.00 gamma=90.00
Sites, in units of the cell vectors:
Ac 0.000 0.500 0.218
Ac 0.500 0.000 0.782
Nd 0.000 0.000 0.500
Sb 0.000 0.500 0.878
Sb 0.500 0.000 0.122
Sb 0.500 0.500 0.500
Pt 0.000 0.000 0.000
Pt 0.000 0.500 0.648
Pt 0.500 0.000 0.352
Pt 0.500 0.500 0.000

Computed properties:
DOS at the Fermi energy: 3.85 states/eV/f.u.
Total energy: -59.13 eV/cell
V: 25.185 A^3/atom
Energy relative to the elements, uncorrected: -0.961 eV/atom
Space-group type: No. 115



Here is a relaxed structure of AcNdSbPt from Alexandria. Energies are from PBE.

Unit cell a=5.457 b=5.457 c=5.457 alpha=60.00 beta=60.00 gamma=60.00
Sites, in units of the cell vectors:
Ac 0.000 0.000 0.000
Nd 0.500 0.500 0.500
Sb 0.750 0.750 0.750
Pt 0.250 0.250 0.250

Computed properties:
DOS at the Fermi energy: 4.39 states/eV/f.u.
Total energy: -22.41 eV/cell
V: 28.728 A^3/atom
Energy relative to the elements, uncorrected: -0.842 eV/atom
Space-group type: No. 216



Here is a relaxed structure of AcNdSiPt from Alexandria. Energies are from PBE.

Unit cell a=5.288 b=5.288 c=5.288 alpha=60.00 beta=60.00 gamma=60.00
Sites, in units of the cell vectors:
Ac 0.000 0.000 0.000
Nd 0.500 0.500 0.500
Si 0.250 0.250 0.250
Pt 0.750 0.750 0.750

Computed properties:
DOS at the Fermi energy: 1.25 states/eV/f.u.
Total energy: -23.04 eV/cell
V: 26.139 A^3/atom
Energy relative to the elements, uncorrected: -0.676 eV/atom
Space-group type: No. 216



Here is a relaxed structure of Ac2NdSi3Pt12 from Alexandria. Energies are from PBE.

Unit cell a=7.954 b=7.954 c=7.954 alpha=63.62 beta=63.62 gamma=63.62
Sites, in units of the cell vectors:
Ac 0.102 0.102 0.102
Ac 0.898 0.898 0.898
Nd 0.500 0.500 0.500
Si 0.000 0.500 0.500
Si 0.500 0.000 0.500
Si 0.500 0.500 0.000
Pt 0.092 0.641 0.641
Pt 0.156 0.156 0.599
Pt 0.156 0.599 0.156
Pt 0.359 0.359 0.908
Pt 0.359 0.908 0.359
Pt 0.401 0.844 0.844
Pt 0.599 0.156 0.156
Pt 0.641 0.092 0.641
Pt 0.641 0.641 0.092
Pt 0.844 0.401 0.844
Pt 0.844 0.844 0.401
Pt 0.908 0.359 0.359

Computed properties:
DOS at the Fermi energy: 8.39 states/eV/f.u.
Total energy: -111.51 eV/cell
V: 21.354 A^3/atom
Energy relative to the elements, uncorrected: -0.543 eV/atom
Space-group type: No. 166



Here is a relaxed structure of AcNdSnPt from Alexandria. Energies are from PBE.

Unit cell a=4.924 b=4.924 c=10.658 alpha=90.00 beta=90.00 gamma=90.00
Sites, in units of the cell vectors:
Ac 0.250 0.250 0.198
Ac 0.750 0.750 0.802
Nd 0.250 0.750 0.500
Nd 0.750 0.250 0.500
Sn 0.250 0.250 0.895
Sn 0.750 0.750 0.105
Pt 0.250 0.250 0.650
Pt 0.750 0.750 0.350

Computed properties:
DOS at the Fermi energy: 3.06 states/eV/f.u.
Total energy: -43.24 eV/cell
V: 32.296 A^3/atom
Excess energy over the best structure of this formula in the dataset: 55.0 meV per atom
Space-group type: No. 129



Here is a relaxed structure of AcNdSnPt from Alexandria. Energies are from PBE.

Unit cell a=5.460 b=5.460 c=5.460 alpha=60.00 beta=60.00 gamma=60.00
Sites, in units of the cell vectors:
Ac 0.000 0.000 0.000
Nd 0.500 0.500 0.500
Sn 0.750 0.750 0.750
Pt 0.250 0.250 0.250

Computed properties:
DOS at the Fermi energy: 1.53 states/eV/f.u.
Total energy: -21.84 eV/cell
V: 28.776 A^3/atom
Excess energy over the best structure of this formula in the dataset: 0.0 meV per atom
Space-group type: No. 216



Here is a relaxed structure of Ac3NdTh2Pt6 from Alexandria. Energies are from PBE.

Unit cell a=7.428 b=7.428 c=7.448 alpha=99.56 beta=99.56 gamma=119.92
Sites, in units of the cell vectors:
Ac 0.000 0.000 0.000
Ac 0.333 0.667 0.000
Ac 0.667 0.333 0.000
Nd 0.500 0.500 0.500
Th 0.167 0.833 0.500
Th 0.833 0.167 0.500
Pt 0.083 0.423 0.269
Pt 0.238 0.238 0.732
Pt 0.423 0.083 0.269
Pt 0.577 0.917 0.731
Pt 0.762 0.762 0.268
Pt 0.917 0.577 0.731

Computed properties:
DOS at the Fermi energy: 5.57 states/eV/f.u.
Total energy: -82.36 eV/cell
V: 28.003 A^3/atom
Space-group type: No. 12



Here is a relaxed structure of Ac2NdThPt4 from Alexandria. Energies are from PBE.

Unit cell a=7.431 b=4.284 c=7.449 alpha=90.00 beta=109.33 gamma=90.00
Sites, in units of the cell vectors:
Ac 0.000 0.000 0.000
Ac 0.000 0.500 0.500
Nd 0.500 0.000 0.500
Th 0.500 0.500 0.000
Pt 0.266 0.500 0.249
Pt 0.269 0.000 0.761
Pt 0.731 0.000 0.239
Pt 0.734 0.500 0.751

Computed properties:
DOS at the Fermi energy: 3.36 states/eV/f.u.
Total energy: -53.92 eV/cell
V: 27.975 A^3/atom
Space-group type: No. 10



> Among the records above, which one has the lowest total energy?

Ac2NdSi3Pt12